[1]
KBa2F | PBE-GGA | relaxed

Lattice parameters (Å, degrees): 6.582 6.582 6.582 60.00 60.00 60.00
Element x y z (fractional)
K: 0.500 0.500 0.500
Ba: 0.250 0.250 0.250
Ba: 0.750 0.750 0.750
F: 0.000 0.000 0.000

symmetry	No. 225
relative energy among the computed polymorphs	799	meV/atom
calculated volume	50.40	A^3/atom
E_form (uncorrected)	-0.48	eV/atom

[2]
LaNdSm3Dy | PBE-GGA | relaxed

Lattice parameters (Å, degrees): 5.789 10.606 6.997 90.75 90.00 105.84
Element x y z (fractional)
La: 0.354 0.708 0.974
La: 0.646 0.292 0.026
Nd: 0.055 0.109 0.263
Nd: 0.945 0.891 0.737
Sm: 0.837 0.674 0.265
Sm: 0.780 0.561 0.750
Sm: 0.480 0.960 0.256
Sm: 0.220 0.439 0.250
Sm: 0.520 0.040 0.744
Sm: 0.163 0.326 0.735
Dy: 0.647 0.294 0.468
Dy: 0.353 0.706 0.532

symmetry	No. 12
E_form	170	meV/atom
calculated volume	34.44	A^3/atom

[3]
FeRu2Au | PBE-GGA | relaxed

Lattice parameters (Å, degrees): 9.083 9.083 9.083 17.41 17.41 17.41
Each line ends with the local moment (μB).
Element x y z (fractional)
Au: 0.498 0.498 0.498  -0.02
Fe: 0.746 0.746 0.746  2.67
Ru: 0.000 0.000 0.000  -0.16
Ru: 0.256 0.256 0.256  -0.17

symmetry	No. 160
E_form	257	meV/atom
relative energy among the computed polymorphs	56	meV/atom
calculated volume	14.64	A^3/atom

[4]
Be2CrIr | PBE-GGA | relaxed

Lattice parameters (Å, degrees): 2.739 2.739 5.672 90.00 90.00 90.00
Each line ends with the local moment (μB).
Element x y z (fractional)
Cr: 0.000 0.000 0.481  0.40
Ir: 0.500 0.500 0.772  -0.06
Be: 0.000 0.000 0.024  0.01
Be: 0.500 0.500 0.222  -0.01

symmetry	No. 99
E_form	-246	meV/atom
calculated volume	10.64	A^3/atom

[5]
AlRuSeN2 | PBE-GGA | relaxed

Lattice parameters (Å, degrees): 3.804 3.804 5.379 90.00 90.00 90.00
Each line ends with the local moment (μB).
Element x y z (fractional)
Ru: 0.000 0.000 0.000  -0.03
Al: 0.500 0.500 0.500  0.00
Se: 0.000 0.000 0.500  -0.01
N: 0.000 0.500 0.000  0.11
N: 0.500 0.000 0.000  0.11

symmetry	No. 123
relative energy among the computed polymorphs	0	meV/atom
calculated volume	15.57	A^3/atom
E_form (uncorrected)	0.63	eV/atom

[6]
Hg3Ir | PBE-GGA | relaxed

Lattice parameters (Å, degrees): 7.329 8.204 6.189 90.00 90.00 90.00
Element x y z (fractional)
Ir: 0.140 0.750 0.556
Ir: 0.360 0.250 0.056
Ir: 0.640 0.750 0.944
Ir: 0.860 0.250 0.444
Hg: 0.059 0.250 0.812
Hg: 0.171 0.055 0.340
Hg: 0.171 0.445 0.340
Hg: 0.329 0.555 0.840
Hg: 0.329 0.945 0.840
Hg: 0.441 0.750 0.312
Hg: 0.559 0.250 0.688
Hg: 0.671 0.055 0.160
Hg: 0.671 0.445 0.160
Hg: 0.829 0.555 0.660
Hg: 0.829 0.945 0.660
Hg: 0.941 0.750 0.188

symmetry	No. 62
E_form	282	meV/atom
relative energy among the computed polymorphs	0	meV/atom
calculated volume	23.26	A^3/atom

[7]
K2GaPbF8 | PBE-GGA | relaxed

Lattice parameters (Å, degrees): 5.871 5.871 6.696 90.00 90.00 120.00
Each line ends with the local moment (μB).
Element x y z (fractional)
K: 0.667 0.333 0.119  0.00
K: 0.333 0.667 0.881  0.00
Ga: 0.000 0.000 0.000  0.00
Pb: 0.000 0.000 0.500  0.00
F: 0.851 0.702 0.824  0.01
F: 0.298 0.149 0.824  0.01
F: 0.851 0.149 0.824  0.01
F: 0.149 0.298 0.176  0.01
F: 0.702 0.851 0.176  0.01
F: 0.149 0.851 0.176  0.01
F: 0.667 0.333 0.492  0.41
F: 0.333 0.667 0.508  0.41

symmetry	No. 164
calculated volume	16.66	A^3/atom
E_form (uncorrected)	-2.31	eV/atom

[8]
ZrGaMo | PBE-GGA | relaxed

Lattice parameters (Å, degrees): 5.255 5.331 5.331 60.85 60.47 60.47
Element x y z (fractional)
Zr: 0.883 0.367 0.367
Zr: 0.117 0.633 0.633
Ga: 0.500 0.500 0.000
Ga: 0.500 0.000 0.500
Mo: 0.000 0.000 0.000
Mo: 0.500 0.000 0.000

symmetry	No. 74
E_form	-362	meV/atom
relative energy among the computed polymorphs	0	meV/atom
calculated volume	17.84	A^3/atom

[9]
K4U3TlO12 | PBE-GGA | relaxed

Lattice parameters (Å, degrees): 7.582 7.582 7.582 109.47 109.47 109.47
Element x y z (fractional)
K: 0.500 0.500 0.500
K: 0.000 0.000 0.500
K: 0.500 0.000 0.000
K: 0.000 0.500 0.000
U: 0.500 0.000 0.500
U: 0.500 0.500 0.000
U: 0.000 0.500 0.500
Tl: 0.000 0.000 0.000
O: 0.250 0.500 0.750
O: 0.723 0.000 0.723
O: 0.277 0.000 0.277
O: 0.750 0.500 0.250
O: 0.723 0.723 0.000
O: 0.277 0.277 0.000
O: 0.750 0.250 0.500
O: 0.250 0.750 0.500
O: 0.500 0.250 0.750
O: 0.000 0.723 0.723
O: 0.500 0.750 0.250
O: 0.000 0.277 0.277

symmetry	No. 229
calculated volume	16.78	A^3/atom
E_form (uncorrected)	-2.56	eV/atom

[10]
Tl2SnBiPb4 | PBE-GGA | relaxed

Lattice parameters (Å, degrees): 5.906 9.346 5.774 52.45 90.00 90.00
Element x y z (fractional)
Tl: 0.000 0.000 0.000
Tl: 0.500 0.000 0.500
Sn: 0.500 0.500 0.000
Bi: 0.000 0.500 0.500
Pb: 0.000 0.728 0.773
Pb: 0.000 0.272 0.227
Pb: 0.500 0.726 0.276
Pb: 0.500 0.274 0.724

symmetry	No. 10
E_form	12	meV/atom
calculated volume	31.59	A^3/atom